Crystalline RbMg2Pb at its relaxed geometry. Source: Alexandria, functional GGA-PBE.

Lattice parameters (Å, degrees): 5.046 5.520 11.259 101.61 93.89 110.72
Fractional coordinates of all 8 atoms:
Pb  0.256  0.983  0.301
Pb  0.744  0.017  0.699
Rb  0.151  0.725  0.877
Rb  0.849  0.275  0.123
Mg  0.866  0.203  0.455
Mg  0.470  0.403  0.620
Mg  0.134  0.797  0.545
Mg  0.530  0.597  0.380

Computed properties:
total magnetic moment: 0.00 μB/f.u.
SG: P-1, No. 2
E: -2.03 eV/atom
E_form: -62.8 meV per atom
crystal system: triclinic